[1]
VASP calculation (PBE-GGA) on K2AsAu2 after structural relaxation.

Geometry as CIF:
```
data_K2AsAu2
_chemical_formula_sum 'K4 As2 Au4'
_space_group_name_H-M_alt 'I m m m'
_space_group_IT_number 71
_space_group_name_Hall '-I 2 2'
_cell_length_a 4.692
_cell_length_b 5.588
_cell_length_c 10.549
_cell_angle_alpha 90.00
_cell_angle_beta 90.00
_cell_angle_gamma 90.00
loop_
_atom_site_label
_atom_site_type_symbol
_atom_site_fract_x
_atom_site_fract_y
_atom_site_fract_z
K1 K 0.000 0.000 0.200
As1 As 0.000 0.500 0.000
Au1 Au 0.000 0.255 0.500
```

## Properties
- Relative energy among the computed polymorphs: 0 meV/atom

[2]
VASP calculation (PBE-GGA) on TaCl2 after structural relaxation.

Geometry as CIF:
```
data_TaCl2
_chemical_formula_sum 'Ta4 Cl8'
_space_group_name_H-M_alt 'C 1 m 1'
_space_group_IT_number 8
_cell_length_a 17.232
_cell_length_b 3.112
_cell_length_c 7.398
_cell_angle_alpha 90.00
_cell_angle_beta 109.41
_cell_angle_gamma 90.00
loop_
_space_group_symop_operation_xyz
'x,y,z'
'x,-y,z'
'x+1/2,y+1/2,z'
'x+1/2,-y+1/2,z'
loop_
_atom_site_label
_atom_site_type_symbol
_atom_site_fract_x
_atom_site_fract_y
_atom_site_fract_z
Ta1 Ta 0.000 0.000 0.000
Ta2 Ta 0.137 0.500 0.031
Cl1 Cl 0.206 0.000 0.868
Cl2 Cl 0.220 0.500 0.344
Cl3 Cl 0.425 0.000 0.739
Cl4 Cl 0.469 0.000 0.229
```

## Properties
- Energy relative to the elements, uncorrected: -826 meV/atom

[3]
VASP calculation (PBE-GGA) on NdPu6Te8 after structural relaxation.

Geometry as CIF:
```
data_NdPu6Te8
_chemical_formula_sum 'Nd4 Pu24 Te32'
_space_group_name_H-M_alt 'F m -3 m'
_space_group_IT_number 225
_space_group_name_Hall '-F 4 2 3'
_cell_length_a 12.546
_cell_length_b 12.546
_cell_length_c 12.546
_cell_angle_alpha 90.00
_cell_angle_beta 90.00
_cell_angle_gamma 90.00
loop_
_atom_site_label
_atom_site_type_symbol
_atom_site_fract_x
_atom_site_fract_y
_atom_site_fract_z
Nd1 Nd 0.000 0.000 0.000
Pu1 Pu 0.000 0.250 0.250
Te1 Te 0.000 0.000 0.255
Te2 Te 0.250 0.250 0.250
```

## Properties
- Energy relative to the elements, uncorrected: -1150 meV/atom

[4]
VASP calculation (PBE-GGA) on KPaRh2O8 after structural relaxation.

Geometry as CIF:
```
data_KPaRh2O8
_chemical_formula_sum 'K1 Pa1 Rh2 O8'
_space_group_name_H-M_alt 'P -3'
_space_group_IT_number 147
_cell_length_a 5.7725
_cell_length_b 5.7725
_cell_length_c 7.4389
_cell_angle_alpha 90.00
_cell_angle_beta 90.00
_cell_angle_gamma 120.00
loop_
_space_group_symop_operation_xyz
'x,y,z'
'-x,-y,-z'
'-y,x-y,z'
'y,-x+y,-z'
'-x+y,-x,z'
'x-y,x,-z'
loop_
_atom_site_label
_atom_site_type_symbol
_atom_site_fract_x
_atom_site_fract_y
_atom_site_fract_z
K1 K 0.0000 0.0000 0.0000
Pa1 Pa 0.0000 0.0000 0.5000
Rh1 Rh 0.3333 0.6667 0.4527
O1 O 0.0765 0.3773 0.6195
O2 O 0.3333 0.6667 0.2122
```

## Properties
- Energy relative to the elements, uncorrected: -1207 meV/atom

[5]
VASP calculation (PBE-GGA) on La2Ga12Ru after structural relaxation.

Geometry as CIF:
```
data_La2Ga12Ru
_chemical_formula_sum 'La4 Ga24 Ru2'
_space_group_name_H-M_alt 'P 4/n b m'
_space_group_IT_number 125
_cell_length_a 6.145
_cell_length_b 6.145
_cell_length_c 15.856
_cell_angle_alpha 90.00
_cell_angle_beta 90.00
_cell_angle_gamma 90.00
loop_
_space_group_symop_operation_xyz
'x,y,z'
'-x,-y,-z'
'-y+1/2,x,z'
'y+1/2,-x,-z'
'-x+1/2,-y+1/2,z'
'x+1/2,y+1/2,-z'
'y,-x+1/2,z'
'-y,x+1/2,-z'
'x,-y+1/2,-z'
'-x,y+1/2,z'
'-y+1/2,-x+1/2,-z'
'y+1/2,x+1/2,z'
'-x+1/2,y,-z'
'x+1/2,-y,z'
'y,x,-z'
'-y,-x,z'
loop_
_atom_site_label
_atom_site_type_symbol
_atom_site_fract_x
_atom_site_fract_y
_atom_site_fract_z
La1 La 0.250 0.750 0.241
Ga1 Ga 0.000 0.000 0.085
Ga2 Ga 0.079 0.579 0.432
Ga3 Ga 0.250 0.250 0.189
Ga4 Ga 0.250 0.250 0.346
Ru1 Ru 0.250 0.750 0.000
```

## Properties
- E: -4.11 eV/atom

[6]
VASP calculation (PBE-GGA) on La2CuPb after structural relaxation.

Geometry as CIF:
```
data_La2CuPb
_chemical_formula_sum 'La2 Cu1 Pb1'
_space_group_name_H-M_alt 'P 4 m m'
_space_group_IT_number 99
_cell_length_a 4.558
_cell_length_b 4.558
_cell_length_c 6.464
_cell_angle_alpha 90.00
_cell_angle_beta 90.00
_cell_angle_gamma 90.00
loop_
_space_group_symop_operation_xyz
'x,y,z'
'-y,x,z'
'-x,-y,z'
'y,-x,z'
'-x,y,z'
'y,x,z'
'x,-y,z'
'-y,-x,z'
loop_
_atom_site_label
_atom_site_type_symbol
_atom_site_fract_x
_atom_site_fract_y
_atom_site_fract_z
La1 La 0.000 0.000 0.000
La2 La 0.500 0.500 0.498
Cu1 Cu 0.500 0.500 0.999
Pb1 Pb 0.000 0.000 0.500
```

## Properties
- E: -4.54 eV/atom

[7]
VASP calculation (PBE-GGA) on Nd5Sm after structural relaxation.

Geometry as CIF:
```
data_Nd5Sm
_chemical_formula_sum 'Nd10 Sm2'
_space_group_name_H-M_alt 'P m m n'
_space_group_IT_number 59
_cell_length_a 5.206
_cell_length_b 11.000
_cell_length_c 7.339
_cell_angle_alpha 90.00
_cell_angle_beta 90.00
_cell_angle_gamma 90.00
loop_
_space_group_symop_operation_xyz
'x,y,z'
'-x,-y,-z'
'-x+1/2,-y+1/2,z'
'x+1/2,y+1/2,-z'
'x+1/2,-y,-z'
'-x+1/2,y,z'
'-x,y+1/2,-z'
'x,-y+1/2,z'
loop_
_atom_site_label
_atom_site_type_symbol
_atom_site_fract_x
_atom_site_fract_y
_atom_site_fract_z
Nd1 Nd 0.250 0.083 0.125
Nd2 Nd 0.250 0.084 0.626
Nd3 Nd 0.250 0.750 0.625
Sm1 Sm 0.250 0.750 0.124
```

## Properties
- E: -4.75 eV/atom

[8]
VASP calculation (PBE-GGA) on K4Nd3PuO8 after structural relaxation.

Geometry as CIF:
```
data_K4Nd3PuO8
_chemical_formula_sum 'K12 Nd9 Pu3 O24'
_space_group_name_H-M_alt 'R -3 m'
_space_group_IT_number 166
_space_group_name_Hall '-R 3 2"'
_cell_length_a 7.2589
_cell_length_b 7.2589
_cell_length_c 18.9139
_cell_angle_alpha 90.00
_cell_angle_beta 90.00
_cell_angle_gamma 120.00
loop_
_atom_site_label
_atom_site_type_symbol
_atom_site_fract_x
_atom_site_fract_y
_atom_site_fract_z
K1 K 0.0000 0.0000 0.0000
K2 K 0.0000 0.5000 0.0000
Nd1 Nd 0.0000 0.5000 0.5000
Pu1 Pu 0.0000 0.0000 0.5000
O1 O 0.0000 0.0000 0.2306
O2 O 0.0052 0.5026 0.2300
```

## Properties
- Energy relative to the elements, uncorrected: -2540 meV/atom

[9]
VASP calculation (PBE-GGA) on PuNiSb after structural relaxation.

Geometry as CIF:
```
data_PuNiSb
_chemical_formula_sum 'Pu4 Ni4 Sb4'
_space_group_name_H-M_alt 'C m c m'
_space_group_IT_number 63
_space_group_name_Hall '-C 2c 2'
_cell_length_a 3.822
_cell_length_b 14.278
_cell_length_c 4.886
_cell_angle_alpha 90.00
_cell_angle_beta 90.00
_cell_angle_gamma 90.00
loop_
_atom_site_label
_atom_site_type_symbol
_atom_site_fract_x
_atom_site_fract_y
_atom_site_fract_z
Pu1 Pu 0.000 0.179 0.250
Ni1 Ni 0.000 0.000 0.000
Sb1 Sb 0.000 0.406 0.250
```

## Properties
- Energy relative to the elements, uncorrected: -221 meV/atom

[10]
VASP calculation (PBE-GGA) on Ho2Zn12InCu3 after structural relaxation.

Geometry as CIF:
```
data_Ho2Zn12InCu3
_chemical_formula_sum 'Ho6 Zn36 In3 Cu9'
_space_group_name_H-M_alt 'R -3 m'
_space_group_IT_number 166
_space_group_name_Hall '-R 3 2"'
_cell_length_a 8.3266
_cell_length_b 8.3266
_cell_length_c 19.6961
_cell_angle_alpha 90.00
_cell_angle_beta 90.00
_cell_angle_gamma 120.00
loop_
_atom_site_label
_atom_site_type_symbol
_atom_site_fract_x
_atom_site_fract_y
_atom_site_fract_z
Ho1 Ho 0.0000 0.0000 0.0888
Zn1 Zn 0.0169 0.5085 0.3387
Zn2 Zn 0.1036 0.5518 0.8825
In1 In 0.0000 0.0000 0.5000
Cu1 Cu 0.0000 0.5000 0.0000
```

## Properties
- E: -1.96 eV/atom

[11]
VASP calculation (PBE-GGA) on HfBeSi after structural relaxation.

Geometry as CIF:
```
data_HfBeSi
_chemical_formula_sum 'Hf2 Be2 Si2'
_space_group_name_H-M_alt 'P 63/m m c'
_space_group_IT_number 194
_space_group_name_Hall '-P 6c 2c'
_cell_length_a 3.7074
_cell_length_b 3.7074
_cell_length_c 7.1368
_cell_angle_alpha 90.00
_cell_angle_beta 90.00
_cell_angle_gamma 120.00
loop_
_atom_site_label
_atom_site_type_symbol
_atom_site_fract_x
_atom_site_fract_y
_atom_site_fract_z
Hf1 Hf 0.0000 0.0000 0.0000
Be1 Be 0.3333 0.6667 0.2500
Si1 Si 0.3333 0.6667 0.7500
```

## Properties
- Energy relative to the elements, uncorrected: -661 meV/atom
- Relative energy among the computed polymorphs: 1 meV/atom

Computed values of magnetization (unit: μB per cell) for the preceding records, in sequence: 0.00 0.00 138.87 0.00 0.00 0.73 0.00 15.00 24.20 0.00 0.00.